No. 1
Density functional theory data (PBE) for crystalline CaZr3N at its relaxed geometry.

Results
**Symmetry**: No. 221
**Raw total energy**: -0.1669 Ha/atom
**N(E_F)**: 8.1 states/eV/cell

The structure in CIF format:
```
data_CaZr3N
_chemical_formula_sum 'Ca1 Zr3 N1'
_cell_length_a 4.985
_cell_length_b 4.985
_cell_length_c 4.985
_cell_angle_alpha 90.00
_cell_angle_beta 90.00
_cell_angle_gamma 90.00
_space_group_name_H-M_alt 'P 1'
_space_group_IT_number 1
_space_group_name_Hall 'P 1'
loop_
_atom_site_label
_atom_site_fract_x
_atom_site_fract_y
_atom_site_fract_z
_atom_site_occupancy
Ca1 0.000 0.000 0.000 1
Zr1 0.000 0.500 0.000 1
Zr2 0.000 0.000 0.500 1
Zr3 0.500 0.000 0.000 1
N1 0.500 0.500 0.500 1
```

=====

No. 2
Density functional theory data (PBE) for crystalline CaZr5N6 at its relaxed geometry.

Results
**Symmetry**: No. 12
**Raw total energy**: -0.3496 Ha/atom
**N(E_F)**: 3.7 states/eV/cell

The structure in CIF format:
```
data_CaZr5N6
_chemical_formula_sum 'Ca1 Zr5 N6'
_cell_length_a 5.705
_cell_length_b 5.692
_cell_length_c 5.682
_cell_angle_alpha 59.95
_cell_angle_beta 80.40
_cell_angle_gamma 70.55
_space_group_name_H-M_alt 'P 1'
_space_group_IT_number 1
_space_group_name_Hall 'P 1'
loop_
_atom_site_label
_atom_site_fract_x
_atom_site_fract_y
_atom_site_fract_z
_atom_site_occupancy
Ca1 0.000 0.000 0.000 1
Zr1 0.500 0.164 0.673 1
Zr2 0.000 0.334 0.332 1
Zr3 0.500 0.500 0.000 1
Zr4 0.000 0.666 0.668 1
Zr5 0.500 0.836 0.327 1
N1 0.742 0.086 0.342 1
N2 0.258 0.572 0.342 1
N3 0.252 0.257 0.000 1
N4 0.748 0.743 0.000 1
N5 0.742 0.428 0.658 1
N6 0.258 0.914 0.658 1
```

=====

No. 3
Density functional theory data (PBE) for crystalline Ca2Zr2N at its relaxed geometry.

Results
**Symmetry**: No. 139
**Raw total energy**: -0.1933 Ha/atom
**N(E_F)**: 5.6 states/eV/cell

The structure in CIF format:
```
data_Ca2Zr2N
_chemical_formula_sum 'Ca2 Zr2 N1'
_cell_length_a 3.679
_cell_length_b 3.679
_cell_length_c 9.800
_cell_angle_alpha 79.18
_cell_angle_beta 79.18
_cell_angle_gamma 90.00
_space_group_name_H-M_alt 'P 1'
_space_group_IT_number 1
_space_group_name_Hall 'P 1'
loop_
_atom_site_label
_atom_site_fract_x
_atom_site_fract_y
_atom_site_fract_z
_atom_site_occupancy
Ca1 0.425 0.425 0.150 1
Ca2 0.575 0.575 0.850 1
Zr1 0.750 0.250 0.500 1
Zr2 0.250 0.750 0.500 1
N1 0.000 0.000 0.000 1
```

=====

No. 4
Density functional theory data (PBE) for crystalline CaZr2N at its relaxed geometry.

Results
**Symmetry**: No. 166
**Raw total energy**: -0.2745 Ha/atom
**N(E_F)**: 3.2 states/eV/cell

The structure in CIF format:
```
data_CaZr2N
_chemical_formula_sum 'Ca1 Zr2 N1'
_cell_length_a 3.363
_cell_length_b 3.363
_cell_length_c 8.891
_cell_angle_alpha 79.10
_cell_angle_beta 79.10
_cell_angle_gamma 60.00
_space_group_name_H-M_alt 'P 1'
_space_group_IT_number 1
_space_group_name_Hall 'P 1'
loop_
_atom_site_label
_atom_site_fract_x
_atom_site_fract_y
_atom_site_fract_z
_atom_site_occupancy
Ca1 0.000 0.000 0.000 1
Zr1 0.121 0.121 0.636 1
Zr2 0.879 0.879 0.364 1
N1 0.500 0.500 0.500 1
```